[1]
SrLiAs2Pd PBE-GGA optimized geometry; energy relative to the elements = -853 meV/atom; symmetry = I-4m2 (119)
1.0
-3.697 -1.208 1.911
-0.506 -3.128 -2.955
4.824 -1.225 3.647
As Pd Sr Li
2 1 1 1
Direct
0.381 0.381 0.762
0.619 0.619 0.238
0.750 0.250 0.500
0.000 0.000 0.000
0.250 0.750 0.500


[2]
Ce2HoGa2Cu2 PBE-GGA optimized geometry; energy relative to the elements = -412 meV/atom; symmetry = R-3m (166)
1.0
-3.818 1.150 1.593
-2.975 -2.987 0.814
0.878 -1.512 8.980
Cu Ga Ce Ho
2 2 2 1
Direct
0.597 0.597 0.208
0.403 0.403 0.792
0.264 0.264 0.208
0.736 0.736 0.792
0.139 0.139 0.582
0.861 0.861 0.418
0.000 0.000 0.000


The records above yield total energy values of -4.4709 -4.7970 eV per atom, respectively.
The records above yield total magnetization values of 0.0 0.6 μB/f.u., respectively.